Record 1
CrCuRe2: optimized geometry, GGA-PBE.

The formation enthalpy at 0 K comes out at 1.1 eV per formula unit. The value obtained for the polymorph energy (0 for the lowest one) is 43.3 meV per atom. As for the density of states at the Fermi level: 3.91 states/eV/cell. The space group is P4mm, No. 99.

Lattice parameters (Å, degrees): 3.090 3.090 5.770 90.00 90.00 90.00
Atoms (fractional coordinates):
Cu: 0.500 0.500 0.735
Re: 0.500 0.500 0.253
Re: 0.000 0.000 0.995
Cr: 0.000 0.000 0.517

---

Record 2
CaFe2Tc: optimized geometry, GGA-PBE.

The formation enthalpy at 0 K comes out at 2.5 eV per formula unit. The value obtained for the polymorph energy (0 for the lowest one) is 252.7 meV per atom. As for the density of states at the Fermi level: 5.11 states/eV/cell. The space group is C2/m, No. 12.

Lattice parameters (Å, degrees): 5.152 5.152 2.617 82.35 82.35 113.50
Atoms (fractional coordinates):
Fe: 0.000 0.000 0.000
Fe: 0.500 0.500 0.000
Tc: 0.500 0.000 0.500
Ca: 0.000 0.500 0.500

---

Record 3
LiLaCe2N4: optimized geometry, GGA-PBE.

Its formation energy without anion corrections is -1.2723 eV/atom. The space group is Cmcm, No. 63.

Lattice parameters (Å, degrees): 3.578 6.064 11.598 90.00 90.00 107.16
Atoms (fractional coordinates):
Ce: 0.632 0.264 0.442
Ce: 0.368 0.736 0.558
Ce: 0.632 0.264 0.058
Ce: 0.368 0.736 0.942
N: 0.261 0.521 0.389
N: 0.739 0.479 0.889
N: 0.451 0.901 0.750
N: 0.000 0.000 0.500
N: 0.739 0.479 0.611
N: 0.261 0.521 0.111
N: 0.000 0.000 0.000
N: 0.549 0.099 0.250
Li: 0.840 0.681 0.750
Li: 0.160 0.319 0.250
La: 0.103 0.206 0.750
La: 0.897 0.794 0.250

---

Record 4
K2Ag2Te3: optimized geometry, GGA-PBE.

Its formation energy without anion corrections is -0.5105 eV/atom. As for the density of states at the Fermi level: 0.89 states/eV/cell. The space group is Cmcm, No. 63.

Lattice parameters (Å, degrees): 5.106 7.221 12.562 90.00 101.73 90.00
Atoms (fractional coordinates):
Te: 0.415 0.947 0.831
Te: 0.585 0.447 0.169
Te: 0.227 0.750 0.453
Te: 0.585 0.053 0.169
Te: 0.415 0.553 0.831
Te: 0.773 0.250 0.547
Ag: 0.696 0.551 0.391
Ag: 0.304 0.449 0.609
Ag: 0.696 0.949 0.391
Ag: 0.304 0.051 0.609
K: 0.166 0.250 0.331
K: 0.025 0.750 0.050
K: 0.834 0.750 0.669
K: 0.975 0.250 0.950

---

Record 5
AsRhBr3: optimized geometry, GGA-PBE.

Its formation energy without anion corrections is 0.3871 eV/atom. The value obtained for the polymorph energy (0 for the lowest one) is 0.0 meV per atom. As for the density of states at the Fermi level: 5.04 states/eV/cell. The space group is Pm-3m, No. 221.

Lattice parameters (Å, degrees): 5.071 5.071 5.071 90.00 90.00 90.00
Atoms (fractional coordinates):
As: 0.500 0.500 0.500
Br: 0.500 0.000 0.000
Br: 0.000 0.000 0.500
Br: 0.000 0.500 0.000
Rh: 0.000 0.000 0.000

---

Record 6
Sr2BrOF: optimized geometry, GGA-PBE.

Its formation energy without anion corrections is -2.9101 eV/atom. As for the density of states at the Fermi level: 0.00 states/eV/cell. The space group is C2/m, No. 12.

Lattice parameters (Å, degrees): 4.213 7.293 8.481 80.97 75.62 73.21
Atoms (fractional coordinates):
Sr: 0.440 0.813 0.307
Sr: 0.560 0.187 0.693
Sr: 0.821 0.297 0.061
Sr: 0.179 0.703 0.939
O: 0.363 0.357 0.917
O: 0.637 0.643 0.083
Br: 0.172 0.262 0.395
Br: 0.828 0.738 0.605
F: 0.936 0.941 0.188
F: 0.064 0.059 0.812

---

Record 7
LaCu2Tc: optimized geometry, GGA-PBE.

The formation enthalpy at 0 K comes out at 1.3 eV per formula unit. The value obtained for the polymorph energy (0 for the lowest one) is 217.1 meV per atom. As for the density of states at the Fermi level: 4.30 states/eV/cell. The space group is Pmm2, No. 25.

Lattice parameters (Å, degrees): 2.896 3.459 7.010 90.00 90.00 90.00
Atoms (fractional coordinates):
La: 0.000 0.000 0.504
Cu: 0.000 0.000 0.008
Cu: 0.500 0.500 0.180
Tc: 0.500 0.500 0.808

---

Record 8
ZnCuB3: optimized geometry, GGA-PBE.

The formation enthalpy at 0 K comes out at 7.9 eV per formula unit. The value obtained for the polymorph energy (0 for the lowest one) is 0.0 meV per atom. As for the density of states at the Fermi level: 2.26 states/eV/cell. The space group is Pm-3m, No. 221.

Lattice parameters (Å, degrees): 3.911 3.911 3.911 90.00 90.00 90.00
Atoms (fractional coordinates):
B: 0.000 0.500 0.000
B: 0.000 0.000 0.500
B: 0.500 0.000 0.000
Cu: 0.000 0.000 0.000
Zn: 0.500 0.500 0.500

---

Record 9
ScAlPdRu: optimized geometry, GGA-PBE.

The formation enthalpy at 0 K comes out at -3.3 eV per formula unit. As for the density of states at the Fermi level: 0.67 states/eV/cell. The space group is Pmmm, No. 47.

Lattice parameters (Å, degrees): 3.251 4.326 4.391 90.00 90.00 90.00
Atoms (fractional coordinates):
Al: 0.000 0.500 0.500
Ru: 0.500 0.500 0.000
Pd: 0.500 0.000 0.500
Sc: 0.000 0.000 0.000

---

Record 10
SiB2Pt2: optimized geometry, GGA-PBE.

Its formation energy without anion corrections is -0.0233 eV/atom. As for the density of states at the Fermi level: 1.04 states/eV/cell. The space group is I4/mmm, No. 139.

Lattice parameters (Å, degrees): 3.091 3.091 6.928 77.11 77.11 90.00
Atoms (fractional coordinates):
B: 0.750 0.250 0.500
B: 0.250 0.750 0.500
Pt: 0.363 0.363 0.274
Pt: 0.637 0.637 0.726
Si: 0.000 0.000 0.000

---

Record 11
YPtSe2: optimized geometry, GGA-PBE.

Its formation energy without anion corrections is -0.6369 eV/atom. As for the density of states at the Fermi level: 2.77 states/eV/cell. The space group is Cmmm, No. 65.

Lattice parameters (Å, degrees): 3.756 3.756 6.862 90.00 90.00 112.90
Atoms (fractional coordinates):
Se: 0.000 0.000 0.520
Se: 0.000 0.000 0.980
Y: 0.500 0.500 0.250
Pt: 0.500 0.500 0.750

---

Record 12
CuTc3Ge: optimized geometry, GGA-PBE.

The formation enthalpy at 0 K comes out at 8.1 eV per formula unit. The value obtained for the polymorph energy (0 for the lowest one) is 85.0 meV per atom. As for the density of states at the Fermi level: 5.44 states/eV/cell. The space group is Pm-3m, No. 221.

Lattice parameters (Å, degrees): 4.482 4.482 4.482 90.00 90.00 90.00
Atoms (fractional coordinates):
Tc: 0.000 0.500 0.000
Tc: 0.500 0.000 0.000
Tc: 0.000 0.000 0.500
Cu: 0.000 0.000 0.000
Ge: 0.500 0.500 0.500

---

Record 13
Te4As2Cl3: optimized geometry, GGA-PBE.

Its formation energy without anion corrections is -0.1478 eV/atom. As for the density of states at the Fermi level: 6.51 states/eV/cell. The space group is C2/c, No. 15.

Lattice parameters (Å, degrees): 9.133 8.859 8.859 84.60 95.92 95.92
Atoms (fractional coordinates):
Te: 0.894 0.729 0.617
Te: 0.577 0.074 0.693
Te: 0.606 0.383 0.271
Te: 0.923 0.307 0.926
Te: 0.394 0.617 0.729
Te: 0.077 0.693 0.074
Te: 0.106 0.271 0.383
Te: 0.423 0.926 0.307
Cl: 0.250 0.547 0.453
Cl: 0.750 0.453 0.547
Cl: 0.040 0.953 0.719
Cl: 0.540 0.719 0.953
Cl: 0.960 0.047 0.281
Cl: 0.460 0.281 0.047
As: 0.932 0.436 0.179
As: 0.568 0.821 0.564
As: 0.068 0.564 0.821
As: 0.432 0.179 0.436

---

Record 14
HfCuIrO6: optimized geometry, GGA-PBE.

Its formation energy without anion corrections is -1.4159 eV/atom. As for the density of states at the Fermi level: 13.43 states/eV/cell. The space group is P-31c, No. 163.

Lattice parameters (Å, degrees): 5.184 5.184 8.840 90.00 90.00 120.00
Atoms (fractional coordinates):
Cu: 0.000 0.000 0.500
Cu: 0.000 0.000 0.000
O: 0.647 0.984 0.873
O: 0.647 0.663 0.627
O: 0.984 0.647 0.373
O: 0.663 0.647 0.127
O: 0.337 0.353 0.873
O: 0.353 0.337 0.373
O: 0.353 0.016 0.127
O: 0.663 0.016 0.373
O: 0.984 0.337 0.127
O: 0.016 0.663 0.873
O: 0.016 0.353 0.627
O: 0.337 0.984 0.627
Ir: 0.333 0.667 0.750
Ir: 0.667 0.333 0.250
Hf: 0.333 0.667 0.250
Hf: 0.667 0.333 0.750

---

Record 15
Ta2BeRu: optimized geometry, GGA-PBE.

The formation enthalpy at 0 K comes out at 0.5 eV per formula unit. As for the density of states at the Fermi level: 5.50 states/eV/cell. The space group is F-43m, No. 216.

Lattice parameters (Å, degrees): 4.406 4.406 4.406 60.00 60.00 60.00
Atoms (fractional coordinates):
Ta: 0.250 0.250 0.250
Ta: 0.000 0.000 0.000
Be: 0.500 0.500 0.500
Ru: 0.750 0.750 0.750

---

Record 16
AcCd2InAg4: optimized geometry, GGA-PBE.

The formation enthalpy at 0 K comes out at -1.0 eV per formula unit. As for the density of states at the Fermi level: 3.81 states/eV/cell. The space group is R-3m, No. 166.

Lattice parameters (Å, degrees): 4.809 4.809 9.787 75.78 75.78 60.00
Atoms (fractional coordinates):
Cd: 0.755 0.755 0.734
Cd: 0.245 0.245 0.266
In: 0.500 0.500 0.500
Ag: 0.601 0.601 0.196
Ag: 0.130 0.130 0.611
Ag: 0.870 0.870 0.389
Ag: 0.399 0.399 0.804
Ac: 0.000 0.000 0.000

---

Record 17
Tb2Zr3Ga4: optimized geometry, GGA-PBE.

The formation enthalpy at 0 K comes out at -3.8 eV per formula unit. The value obtained for the polymorph energy (0 for the lowest one) is 153.7 meV per atom. As for the density of states at the Fermi level: 16.21 states/eV/cell. The space group is Cmce, No. 64.

Lattice parameters (Å, degrees): 6.302 8.197 8.412 90.00 112.00 90.00
Atoms (fractional coordinates):
Ga: 0.318 0.447 0.635
Ga: 0.782 0.250 0.065
Ga: 0.818 0.053 0.635
Ga: 0.682 0.553 0.365
Ga: 0.282 0.250 0.065
Ga: 0.182 0.947 0.365
Ga: 0.218 0.750 0.935
Ga: 0.718 0.750 0.935
Zr: 0.542 0.750 0.584
Zr: 0.500 0.500 0.000
Zr: 0.458 0.250 0.416
Zr: 0.000 0.000 0.000
Zr: 0.042 0.750 0.584
Zr: 0.958 0.250 0.416
Tb: 0.112 0.587 0.225
Tb: 0.888 0.413 0.775
Tb: 0.388 0.087 0.775
Tb: 0.612 0.913 0.225

---

Record 18
KMn2P: optimized geometry, GGA-PBE.

The formation enthalpy at 0 K comes out at 2.3 eV per formula unit. As for the density of states at the Fermi level: 2.03 states/eV/cell. The space group is Imm2, No. 44.

Lattice parameters (Å, degrees): 5.899 5.899 5.899 148.34 123.47 66.26
Atoms (fractional coordinates):
K: 0.279 0.779 0.500
Mn: 0.949 0.949 0.000
Mn: 0.717 0.217 0.500
P: 0.555 0.555 0.000

---

Record 19
FeTeI2Cl: optimized geometry, GGA-PBE.

Its formation energy without anion corrections is 0.3618 eV/atom. The value obtained for the polymorph energy (0 for the lowest one) is 0.0 meV per atom. As for the density of states at the Fermi level: 8.99 states/eV/cell. The space group is P4/mmm, No. 123.

Lattice parameters (Å, degrees): 5.351 5.351 4.842 90.00 90.00 90.00
Atoms (fractional coordinates):
Te: 0.000 0.000 0.500
I: 0.000 0.500 0.000
I: 0.500 0.000 0.000
Cl: 0.500 0.500 0.500
Fe: 0.000 0.000 0.000

---

Record 20
Bi2IrBrO: optimized geometry, GGA-PBE.

Its formation energy without anion corrections is 0.2157 eV/atom. As for the density of states at the Fermi level: 4.59 states/eV/cell. The space group is P4/mmm, No. 123.

Lattice parameters (Å, degrees): 5.547 3.767 5.547 90.00 90.00 90.00
Atoms (fractional coordinates):
Bi: 0.000 0.000 0.500
Bi: 0.500 0.000 0.000
O: 0.000 0.000 0.000
Br: 0.500 0.500 0.500
Ir: 0.000 0.500 0.000

---

Record 21
ScAg4: optimized geometry, GGA-PBE.

The formation enthalpy at 0 K comes out at -0.9 eV per formula unit. As for the density of states at the Fermi level: 1.89 states/eV/cell. The space group is C2/m, No. 12.

Lattice parameters (Å, degrees): 4.106 5.148 5.146 80.70 66.49 66.48
Atoms (fractional coordinates):
Ag: 0.800 0.600 0.800
Ag: 0.600 0.200 0.600
Ag: 0.200 0.400 0.200
Ag: 0.400 0.800 0.400
Sc: 0.000 0.000 0.000

---

Record 22
InMo: optimized geometry, GGA-PBE.

The formation enthalpy at 0 K comes out at 1.0 eV per formula unit. The value obtained for the polymorph energy (0 for the lowest one) is 293.2 meV per atom. As for the density of states at the Fermi level: 1.87 states/eV/cell. The space group is P4/mmm, No. 123.

Lattice parameters (Å, degrees): 2.866 2.866 4.486 90.00 90.00 90.00
Atoms (fractional coordinates):
In: 0.000 0.000 0.000
Mo: 0.500 0.500 0.500

---

Record 23
Zr2SbP2: optimized geometry, GGA-PBE.

Its formation energy without anion corrections is -0.6953 eV/atom. The value obtained for the polymorph energy (0 for the lowest one) is 157.9 meV per atom. As for the density of states at the Fermi level: 8.19 states/eV/cell. The space group is P4/mbm, No. 127.

Lattice parameters (Å, degrees): 7.404 7.404 3.463 90.00 90.00 90.00
Atoms (fractional coordinates):
Zr: 0.659 0.841 0.500
Zr: 0.841 0.341 0.500
Zr: 0.159 0.659 0.500
Zr: 0.341 0.159 0.500
Sb: 0.500 0.500 0.000
Sb: 0.000 0.000 0.000
P: 0.132 0.368 0.000
P: 0.368 0.868 0.000
P: 0.868 0.632 0.000
P: 0.632 0.132 0.000

---

Record 24
Sm12Tm6Cd: optimized geometry, GGA-PBE.

The formation enthalpy at 0 K comes out at 1.9 eV per formula unit. The value obtained for the polymorph energy (0 for the lowest one) is 0.0 meV per atom. As for the density of states at the Fermi level: 31.09 states/eV/cell. The space group is R-3, No. 148.

Lattice parameters (Å, degrees): 8.527 8.527 8.527 88.94 88.94 88.94
Atoms (fractional coordinates):
Sm: 0.177 0.366 0.017
Sm: 0.366 0.017 0.177
Sm: 0.567 0.215 0.462
Sm: 0.215 0.462 0.567
Sm: 0.462 0.567 0.215
Sm: 0.823 0.634 0.983
Sm: 0.983 0.823 0.634
Sm: 0.433 0.785 0.538
Sm: 0.017 0.177 0.366
Sm: 0.538 0.433 0.785
Sm: 0.785 0.538 0.433
Sm: 0.634 0.983 0.823
Tm: 0.718 0.259 0.101
Tm: 0.259 0.101 0.718
Tm: 0.101 0.718 0.259
Tm: 0.899 0.282 0.741
Tm: 0.741 0.899 0.282
Tm: 0.282 0.741 0.899
Cd: 0.000 0.000 0.000

---

Number 1: uncorrected energy -9.386 eV per atom. Number 2: uncorrected energy -6.707 eV per atom. Number 3: uncorrected energy -7.774 eV per atom. Number 4: uncorrected energy -2.985 eV per atom. Number 5: uncorrected energy -3.017 eV per atom. Number 6: uncorrected energy -5.283 eV per atom. Number 7: uncorrected energy -5.552 eV per atom. Number 8: uncorrected energy -3.496 eV per atom. Number 9: uncorrected energy -6.966 eV per atom. Number 10: uncorrected energy -6.195 eV per atom. Number 11: uncorrected energy -5.505 eV per atom. Number 12: uncorrected energy -6.345 eV per atom. Number 13: uncorrected energy -3.193 eV per atom. Number 14: uncorrected energy -7.267 eV per atom. Number 15: uncorrected energy -9.058 eV per atom. Number 16: uncorrected energy -2.638 eV per atom. Number 17: uncorrected energy -5.640 eV per atom. Number 18: uncorrected energy -5.633 eV per atom. Number 19: uncorrected energy -2.948 eV per atom. Number 20: uncorrected energy -4.435 eV per atom. Number 21: uncorrected energy -3.734 eV per atom. Number 22: uncorrected energy -6.277 eV per atom. Number 23: uncorrected energy -7.103 eV per atom. Number 24: uncorrected energy -4.340 eV per atom.